# TcAgBr2 (PBE, relaxed)
# - V (Å³/cell) = 91.3
# - DFT total energy (eV for the cell shown) = -13.1
# - space-group type = F-43m (216)
# - formation energy (no corrections) (meV/atom) = 862
# - distance to the lowest polymorph of the same formula (eV/f.u.) = 2.605
data_TcAgBr2
_chemical_formula_sum 'Tc1 Ag1 Br2'
_cell_length_a 5.054
_cell_length_b 5.054
_cell_length_c 5.054
_cell_angle_alpha 60.00
_cell_angle_beta 60.00
_cell_angle_gamma 60.00
_space_group_name_H-M_alt 'P 1'
_space_group_IT_number 1
loop_
_space_group_symop_operation_xyz
'x,y,z'
loop_
_atom_site_label
_atom_site_fract_x
_atom_site_fract_y
_atom_site_fract_z
Tc1 0.000 0.000 0.000
Ag1 0.250 0.250 0.250
Br1 0.500 0.500 0.500
Br2 0.750 0.750 0.750